[1]
Entry from Alexandria via LeMat-Bulk: crystalline TlCu2Ni at its relaxed geometry (GGA-PBE).

energy	-3.8714	eV/atom
polymorph energy (0 for the lowest one)	0	meV per atom

Structure (CIF):
```
data_TlCu2Ni
_chemical_formula_sum 'Tl1 Cu2 Ni1'
_cell_length_a 3.8097
_cell_length_b 3.8097
_cell_length_c 3.9832
_cell_angle_alpha 90.00
_cell_angle_beta 90.00
_cell_angle_gamma 90.00
_symmetry_space_group_name_H-M 'P 4/m m m'
_symmetry_Int_Tables_number 123
_symmetry_space_group_name_Hall '-P 4 2'
loop_
_atom_site_label
_atom_site_type_symbol
_atom_site_fract_x
_atom_site_fract_y
_atom_site_fract_z
Tl1 Tl 0.0000 0.0000 0.0000
Cu1 Cu 0.0000 0.5000 0.5000
Ni1 Ni 0.5000 0.5000 0.0000
```

[2]
Entry from Alexandria via LeMat-Bulk: crystalline TlCuNi2 at its relaxed geometry (GGA-PBE).

energy	-4.2778	eV/atom
polymorph energy (0 for the lowest one)	48	meV per atom

Structure (CIF):
```
data_TlCuNi2
_chemical_formula_sum 'Tl2 Cu2 Ni4'
_cell_length_a 8.5421
_cell_length_b 3.8338
_cell_length_c 3.8067
_cell_angle_alpha 90.00
_cell_angle_beta 116.36
_cell_angle_gamma 90.00
_symmetry_space_group_name_H-M 'C 1 m 1'
_symmetry_Int_Tables_number 8
loop_
_symmetry_equiv_pos_as_xyz
'x,y,z'
'x,-y,z'
'x+1/2,y+1/2,z'
'x+1/2,-y+1/2,z'
loop_
_atom_site_label
_atom_site_type_symbol
_atom_site_fract_x
_atom_site_fract_y
_atom_site_fract_z
Tl1 Tl 0.0000 0.0000 0.0000
Cu1 Cu 0.2496 0.5000 0.2497
Ni1 Ni 0.0003 0.5000 0.5003
Ni2 Ni 0.2505 0.0000 0.7500
```

[3]
Entry from Alexandria via LeMat-Bulk: crystalline TlCuNi at its relaxed geometry (GGA-PBE).

energy	-3.6234	eV/atom
polymorph energy (0 for the lowest one)	171	meV per atom

Structure (CIF):
```
data_TlCuNi
_chemical_formula_sum 'Tl1 Cu1 Ni1'
_cell_length_a 3.1787
_cell_length_b 3.1787
_cell_length_c 5.7454
_cell_angle_alpha 90.00
_cell_angle_beta 90.00
_cell_angle_gamma 120.00
_symmetry_space_group_name_H-M 'P 3 m 1'
_symmetry_Int_Tables_number 156
loop_
_symmetry_equiv_pos_as_xyz
'x,y,z'
'-y,x-y,z'
'-x+y,-x,z'
'-y,-x,z'
'-x+y,y,z'
'x,x-y,z'
loop_
_atom_site_label
_atom_site_type_symbol
_atom_site_fract_x
_atom_site_fract_y
_atom_site_fract_z
Tl1 Tl 0.0000 0.0000 0.0000
Cu1 Cu 0.6667 0.3333 0.3735
Ni1 Ni 0.3333 0.6667 0.6528
```

[4]
Entry from Alexandria via LeMat-Bulk: crystalline Tl2Cu2Ni at its relaxed geometry (GGA-PBE).

energy	-3.3627	eV/atom

Structure (CIF):
```
data_Tl2Cu2Ni
_chemical_formula_sum 'Tl4 Cu4 Ni2'
_cell_length_a 6.5202
_cell_length_b 6.5202
_cell_length_c 4.1825
_cell_angle_alpha 90.00
_cell_angle_beta 90.00
_cell_angle_gamma 90.00
_symmetry_space_group_name_H-M 'P 4/m b m'
_symmetry_Int_Tables_number 127
_symmetry_space_group_name_Hall '-P 4 2ab'
loop_
_atom_site_label
_atom_site_type_symbol
_atom_site_fract_x
_atom_site_fract_y
_atom_site_fract_z
Tl1 Tl 0.1788 0.3212 0.0000
Cu1 Cu 0.1356 0.6356 0.5000
Ni1 Ni 0.0000 0.0000 0.5000
```

[5]
Entry from Alexandria via LeMat-Bulk: crystalline TlCuNi2 at its relaxed geometry (GGA-PBE).

energy	-4.3073	eV/atom
polymorph energy (0 for the lowest one)	18	meV per atom

Structure (CIF):
```
data_TlCuNi2
_chemical_formula_sum 'Tl4 Cu4 Ni8'
_cell_length_a 6.0677
_cell_length_b 6.0677
_cell_length_c 6.0677
_cell_angle_alpha 90.00
_cell_angle_beta 90.00
_cell_angle_gamma 90.00
_symmetry_space_group_name_H-M 'F m -3 m'
_symmetry_Int_Tables_number 225
_symmetry_space_group_name_Hall '-F 4 2 3'
loop_
_atom_site_label
_atom_site_type_symbol
_atom_site_fract_x
_atom_site_fract_y
_atom_site_fract_z
Tl1 Tl 0.0000 0.0000 0.0000
Cu1 Cu 0.0000 0.0000 0.5000
Ni1 Ni 0.2500 0.2500 0.2500
```

[6]
Entry from Alexandria via LeMat-Bulk: crystalline TlCuNi2 at its relaxed geometry (GGA-PBE).

energy	-4.3258	eV/atom
polymorph energy (0 for the lowest one)	0	meV per atom

Structure (CIF):
```
data_TlCuNi2
_chemical_formula_sum 'Tl2 Cu2 Ni4'
_cell_length_a 3.9496
_cell_length_b 3.9496
_cell_length_c 7.1404
_cell_angle_alpha 90.00
_cell_angle_beta 90.00
_cell_angle_gamma 90.00
_symmetry_space_group_name_H-M 'I 4/m m m'
_symmetry_Int_Tables_number 139
_symmetry_space_group_name_Hall '-I 4 2'
loop_
_atom_site_label
_atom_site_type_symbol
_atom_site_fract_x
_atom_site_fract_y
_atom_site_fract_z
Tl1 Tl 0.0000 0.0000 0.0000
Cu1 Cu 0.0000 0.0000 0.5000
Ni1 Ni 0.0000 0.5000 0.2500
```

[7]
Entry from Alexandria via LeMat-Bulk: crystalline TlCuNi2 at its relaxed geometry (GGA-PBE).

energy	-4.2462	eV/atom
polymorph energy (0 for the lowest one)	80	meV per atom

Structure (CIF):
```
data_TlCuNi2
_chemical_formula_sum 'Tl4 Cu4 Ni8'
_cell_length_a 6.0779
_cell_length_b 6.0779
_cell_length_c 6.0779
_cell_angle_alpha 90.00
_cell_angle_beta 90.00
_cell_angle_gamma 90.00
_symmetry_space_group_name_H-M 'F -4 3 m'
_symmetry_Int_Tables_number 216
_symmetry_space_group_name_Hall 'F -4 2 3'
loop_
_atom_site_label
_atom_site_type_symbol
_atom_site_fract_x
_atom_site_fract_y
_atom_site_fract_z
Tl1 Tl 0.0000 0.0000 0.0000
Cu1 Cu 0.2500 0.2500 0.7500
Ni1 Ni 0.0000 0.0000 0.5000
Ni2 Ni 0.2500 0.2500 0.2500
```

[8]
Entry from Alexandria via LeMat-Bulk: crystalline Tl4CuNi at its relaxed geometry (GGA-PBE).

energy	-2.3783	eV/atom

Structure (CIF):
```
data_Tl4CuNi
_chemical_formula_sum 'Tl16 Cu4 Ni4'
_cell_length_a 8.7450
_cell_length_b 8.7450
_cell_length_c 8.7450
_cell_angle_alpha 90.00
_cell_angle_beta 90.00
_cell_angle_gamma 90.00
_symmetry_space_group_name_H-M 'F -4 3 m'
_symmetry_Int_Tables_number 216
_symmetry_space_group_name_Hall 'F -4 2 3'
loop_
_atom_site_label
_atom_site_type_symbol
_atom_site_fract_x
_atom_site_fract_y
_atom_site_fract_z
Tl1 Tl 0.1251 0.1251 0.1251
Cu1 Cu 0.2500 0.2500 0.7500
Ni1 Ni 0.0000 0.0000 0.5000
```

[9]
Entry from Alexandria via LeMat-Bulk: crystalline TlCu2Ni at its relaxed geometry (GGA-PBE).

energy	-3.5842	eV/atom
polymorph energy (0 for the lowest one)	287	meV per atom

Structure (CIF):
```
data_TlCu2Ni
_chemical_formula_sum 'Tl3 Cu6 Ni3'
_cell_length_a 3.0689
_cell_length_b 3.0689
_cell_length_c 23.5469
_cell_angle_alpha 90.00
_cell_angle_beta 90.00
_cell_angle_gamma 120.00
_symmetry_space_group_name_H-M 'R -3 m'
_symmetry_Int_Tables_number 166
_symmetry_space_group_name_Hall '-R 3 2"'
loop_
_atom_site_label
_atom_site_type_symbol
_atom_site_fract_x
_atom_site_fract_y
_atom_site_fract_z
Tl1 Tl 0.0000 0.0000 0.0000
Cu1 Cu 0.0000 0.0000 0.2390
Ni1 Ni 0.0000 0.0000 0.5000
```

[10]
Entry from Alexandria via LeMat-Bulk: crystalline TlCu2Ni at its relaxed geometry (GGA-PBE).

energy	-3.6944	eV/atom
polymorph energy (0 for the lowest one)	177	meV per atom

Structure (CIF):
```
data_TlCu2Ni
_chemical_formula_sum 'Tl4 Cu8 Ni4'
_cell_length_a 3.6906
_cell_length_b 3.6906
_cell_length_c 18.5469
_cell_angle_alpha 90.00
_cell_angle_beta 90.00
_cell_angle_gamma 90.00
_symmetry_space_group_name_H-M 'I -4 2 d'
_symmetry_Int_Tables_number 122
_symmetry_space_group_name_Hall 'I -4 2bw'
loop_
_atom_site_label
_atom_site_type_symbol
_atom_site_fract_x
_atom_site_fract_y
_atom_site_fract_z
Tl1 Tl 0.0000 0.0000 0.0000
Cu1 Cu 0.2237 0.2500 0.6250
Ni1 Ni 0.0000 0.0000 0.5000
```

[11]
Entry from Alexandria via LeMat-Bulk: crystalline TlCu2Ni at its relaxed geometry (GGA-PBE).

energy	-3.7747	eV/atom
polymorph energy (0 for the lowest one)	97	meV per atom

Structure (CIF):
```
data_TlCu2Ni
_chemical_formula_sum 'Tl1 Cu2 Ni1'
_cell_length_a 2.8825
_cell_length_b 4.3953
_cell_length_c 4.7511
_cell_angle_alpha 90.00
_cell_angle_beta 96.04
_cell_angle_gamma 90.00
_symmetry_space_group_name_H-M 'P 1 2/m 1'
_symmetry_Int_Tables_number 10
loop_
_symmetry_equiv_pos_as_xyz
'x,y,z'
'-x,-y,-z'
'-x,y,-z'
'x,-y,z'
loop_
_atom_site_label
_atom_site_type_symbol
_atom_site_fract_x
_atom_site_fract_y
_atom_site_fract_z
Tl1 Tl 0.0000 0.0000 0.0000
Cu1 Cu 0.2768 0.5000 0.7178
Ni1 Ni 0.5000 0.0000 0.5000
```

[12]
Entry from Alexandria via LeMat-Bulk: crystalline TlCuNi2 at its relaxed geometry (GGA-PBE).

energy	-4.2792	eV/atom
polymorph energy (0 for the lowest one)	47	meV per atom

Structure (CIF):
```
data_TlCuNi2
_chemical_formula_sum 'Tl1 Cu1 Ni2'
_cell_length_a 3.0891
_cell_length_b 3.2222
_cell_length_c 5.6441
_cell_angle_alpha 90.00
_cell_angle_beta 90.00
_cell_angle_gamma 90.00
_symmetry_space_group_name_H-M 'P m m m'
_symmetry_Int_Tables_number 47
loop_
_symmetry_equiv_pos_as_xyz
'x,y,z'
'-x,-y,-z'
'-x,-y,z'
'x,y,-z'
'x,-y,-z'
'-x,y,z'
'-x,y,-z'
'x,-y,z'
loop_
_atom_site_label
_atom_site_type_symbol
_atom_site_fract_x
_atom_site_fract_y
_atom_site_fract_z
Tl1 Tl 0.0000 0.0000 0.0000
Cu1 Cu 0.0000 0.0000 0.5000
Ni1 Ni 0.5000 0.5000 0.2801
```

| no. | ΔH_f (0 K) (eV/f.u.) |
| --- | --- |
| 1 | 0.9 |
| 2 | 0.9 |
| 3 | 1.4 |
| 4 | 1.9 |
| 5 | 0.8 |
| 6 | 0.7 |
| 7 | 1.0 |
| 8 | 5.1 |
| 9 | 2.0 |
| 10 | 1.6 |
| 11 | 1.2 |
| 12 | 0.9 |